Pm2NdMoN4 | Alexandria via LeMat-Bulk | PBE | relaxed; raw formation energy = -1.00 eV/atom; calculated volume = 16.08 Å³/atom; total magnetic moment = 0.00 μB per cell; total energy = -132.84 eV per cell
1.0
-0.1484 -0.5604 -3.4512
0.7722 -5.6232 2.6541
-12.1226 -1.3178 0.7352
N Pm Mo Nd
8 4 2 2
Cartesian
-3.0149 -1.3704 -1.4222
-8.4839 -6.1309 1.3603
-1.1955 -3.3161 0.5898
-10.3033 -4.1852 -0.6517
-7.3769 -3.8671 -0.8292
0.0000 0.0000 0.0000
-6.0613 -0.6589 0.3676
-4.1219 -3.6343 0.7673
-0.3745 -1.8779 -1.4533
-5.4698 -2.4318 -1.1443
-6.0290 -5.0695 1.0824
-11.1243 -5.6234 1.3914
-2.7996 -2.2836 0.4912
-8.6992 -5.2177 -0.5531
-2.5377 -5.4061 -0.7874
-8.9611 -2.0952 0.7255